A plane-wave DFT calculation with GGA-PBE was carried out for a geometry-optimized Ba2Li7Hg structure.

Geometry as CIF:
```
data_Ba2Li7Hg
_chemical_formula_sum 'Ba2 Li7 Hg1'
_space_group_name_H-M_alt 'P -4 m 2'
_space_group_IT_number 115
_cell_length_a 5.124
_cell_length_b 5.124
_cell_length_c 11.142
_cell_angle_alpha 90.00
_cell_angle_beta 90.00
_cell_angle_gamma 90.00
loop_
_space_group_symop_operation_xyz
'x,y,z'
'y,-x,-z'
'-x,-y,z'
'-y,x,-z'
'-x,y,z'
'-y,-x,-z'
'x,-y,z'
'y,x,-z'
loop_
_atom_site_label
_atom_site_fract_x
_atom_site_fract_y
_atom_site_fract_z
Ba1 0.000 0.500 0.239
Li1 0.000 0.000 0.000
Li2 0.000 0.000 0.500
Li3 0.000 0.500 0.627
Li4 0.000 0.500 0.896
Li5 0.500 0.500 0.500
Hg1 0.500 0.500 0.000
```

* formation energy: -57 meV/atom

***

A plane-wave DFT calculation with GGA-PBE was carried out for a geometry-optimized RhPbSI2 structure.

Geometry as CIF:
```
data_RhPbSI2
_chemical_formula_sum 'Rh1 Pb1 S1 I2'
_space_group_name_H-M_alt 'P 4/m m m'
_space_group_IT_number 123
_space_group_name_Hall '-P 4 2'
_cell_length_a 6.220
_cell_length_b 6.220
_cell_length_c 5.037
_cell_angle_alpha 90.00
_cell_angle_beta 90.00
_cell_angle_gamma 90.00
loop_
_atom_site_label
_atom_site_fract_x
_atom_site_fract_y
_atom_site_fract_z
Rh1 0.000 0.000 0.000
Pb1 0.500 0.500 0.500
S1 0.500 0.500 0.000
I1 0.000 0.500 0.500
```

* formation energy (no corrections): 0.85 eV per atom

***

no.,energy (eV per atom)
1,-1.8112
2,-2.8088